# 1
KH2Br | PBE-GGA | relaxed

Unit cell a=4.5374 b=9.8417 c=4.6881 alpha=90.00 beta=90.00 gamma=113.69
Element x y z (fractional)
K: 0.0925 0.8191 0.2500
K: 0.9075 0.1809 0.7500
H: 0.2680 0.5382 0.3304
H: 0.7320 0.4618 0.6696
H: 0.2680 0.5382 0.1696
H: 0.7320 0.4618 0.8304
Br: 0.5891 0.8151 0.7500
Br: 0.4109 0.1849 0.2500

Crystal system: monoclinic
Energy above the lowest structure with this stoichiometry, kJ/mol of formula units: 0

***

# 2
BaS3 | PBE-GGA | relaxed

Unit cell a=5.1027 b=8.6113 c=10.1285 alpha=90.00 beta=90.00 gamma=90.00
Element x y z (fractional)
Ba: 0.0100 0.5000 0.0000
Ba: 0.9900 0.0000 0.5000
Ba: 0.0288 0.0000 0.0000
Ba: 0.9712 0.5000 0.5000
S: 0.4674 0.2462 0.4928
S: 0.4069 0.1888 0.2933
S: 0.5326 0.2538 0.9928
S: 0.4069 0.8112 0.7067
S: 0.5931 0.6888 0.2067
S: 0.9829 0.7502 0.2483
S: 0.0171 0.2502 0.2517
S: 0.9829 0.2498 0.7517
S: 0.5326 0.7462 0.0072
S: 0.0171 0.7498 0.7483
S: 0.4674 0.7538 0.5072
S: 0.5931 0.3112 0.7933

Crystal system: orthorhombic
Raw formation energy, eV per formula unit: -4.1